# TlPbIO2

A crystal of TlPbIO2 relaxed with PBEsol (SCAN, Alexandria).

Cell and atoms, written as POSCAR:
```
TlPbIO2
1.0
-4.428 0.217 -0.132
0.029 -1.862 -4.025
-0.327 -5.204 2.405
O I Tl Pb
2 1 1 1
Direct
0.000 0.500 0.000
0.500 0.000 0.000
0.000 0.000 0.500
0.000 0.000 0.000
0.500 0.500 0.500
```

Calculated density (kg/m³): 8388
E_form (uncorrected) (eV per atom): 0.031



# BeCuAgAs2

A crystal of BeCuAgAs2 relaxed with PBEsol (SCAN, Alexandria).

Cell and atoms, written as POSCAR:
```
BeCuAgAs2
1.0
4.231 0.000 0.000
0.000 4.901 0.000
0.000 0.000 4.901
Cu Be As Ag
1 1 2 1
Direct
0.500 0.500 0.500
0.500 0.000 0.000
0.000 0.500 0.000
0.000 0.000 0.500
0.000 0.000 0.000
```

Calculated density (kg/m³): 5397
E_form (eV per atom): 1.150



# ZrScSiSe2

A crystal of ZrScSiSe2 relaxed with PBEsol (SCAN, Alexandria).

Cell and atoms, written as POSCAR:
```
ZrScSiSe2
1.0
-0.370 -4.229 2.280
3.690 1.214 2.851
-3.049 1.947 3.117
Sc Si Se Zr
1 1 2 1
Direct
0.000 0.000 0.500
0.000 0.000 0.000
0.500 0.000 0.000
0.000 0.500 0.000
0.500 0.500 0.500
```

Calculated density (kg/m³): 4825
E_form (uncorrected) (eV per atom): 0.321



# HoTaO4

A crystal of HoTaO4 relaxed with PBEsol (SCAN, Alexandria).

Cell and atoms, written as POSCAR:
```
HoTaO4
1.0
3.550 0.000 0.000
0.000 3.550 0.000
0.000 0.000 5.197
Ta O Ho
1 4 1
Direct
0.500 0.500 0.000
0.500 0.000 0.227
0.000 0.500 0.773
0.500 0.000 0.773
0.000 0.500 0.227
0.000 0.000 0.500
```

Calculated density (kg/m³): 10391
E_form (uncorrected) (eV per atom): -3.309



# Al2ReRh

A crystal of Al2ReRh relaxed with PBEsol (SCAN, Alexandria).

Cell and atoms, written as POSCAR:
```
Al2ReRh
1.0
4.312 0.000 0.000
2.156 3.734 0.000
2.156 1.245 3.521
Al Re Rh
2 1 1
Direct
0.000 0.000 0.000
0.750 0.750 0.750
0.500 0.500 0.500
0.250 0.250 0.250
```

Distance to the lowest polymorph of the same formula (eV per formula unit): 0.93
Calculated density (kg/m³): 10049
E_form (eV per atom): -0.185



# Sc2FeS

A crystal of Sc2FeS relaxed with PBEsol (SCAN, Alexandria).

Cell and atoms, written as POSCAR:
```
Sc2FeS
1.0
3.379 0.000 0.000
1.690 2.927 0.000
1.690 0.976 8.101
Sc S Fe
2 1 1
Direct
0.098 0.098 0.705
0.902 0.902 0.295
0.000 0.000 0.000
0.500 0.500 0.500
```

Calculated density (kg/m³): 3685
E_form (uncorrected) (eV per atom): -0.141



# LiY2Sn2

A crystal of LiY2Sn2 relaxed with PBEsol (SCAN, Alexandria).

Cell and atoms, written as POSCAR:
```
LiY2Sn2
1.0
4.510 0.000 0.000
0.000 7.474 0.000
0.000 0.000 7.474
Y Sn Li
4 4 2
Direct
0.500 0.171 0.671
0.500 0.829 0.329
0.500 0.329 0.171
0.500 0.671 0.829
0.000 0.365 0.865
0.000 0.135 0.365
0.000 0.635 0.135
0.000 0.865 0.635
0.000 0.500 0.500
0.000 0.000 0.000
```

Calculated density (kg/m³): 5566
E_form (eV per atom): -0.745



# CsMg2SbBr

A crystal of CsMg2SbBr relaxed with PBEsol (SCAN, Alexandria).

Cell and atoms, written as POSCAR:
```
CsMg2SbBr
1.0
5.438 0.000 0.000
0.000 5.438 0.000
0.000 0.000 6.173
Cs Mg Br Sb
1 2 1 1
Direct
0.000 0.000 0.500
0.000 0.500 0.000
0.500 0.000 0.000
0.000 0.000 0.000
0.500 0.500 0.500
```

Calculated density (kg/m³): 3485
E_form (uncorrected) (eV per atom): 0.035



# Mg2Nb2MoO8

A crystal of Mg2Nb2MoO8 relaxed with PBEsol (SCAN, Alexandria).

Cell and atoms, written as POSCAR:
```
Mg2Nb2MoO8
1.0
5.244 0.000 -0.233
0.000 5.934 0.000
-0.495 -2.967 9.173
Nb O Mg Mo
4 16 4 2
Direct
0.784 0.025 0.776
0.716 0.249 0.224
0.216 0.975 0.224
0.284 0.751 0.776
0.543 0.907 0.124
0.644 0.155 0.618
0.957 0.783 0.876
0.144 0.463 0.618
0.424 0.285 0.364
0.900 0.347 0.890
0.356 0.845 0.382
0.076 0.921 0.636
0.576 0.715 0.636
0.856 0.537 0.382
0.600 0.457 0.110
0.457 0.093 0.876
0.400 0.543 0.890
0.924 0.079 0.364
0.043 0.217 0.124
0.100 0.653 0.110
0.269 0.136 0.552
0.231 0.584 0.448
0.731 0.864 0.448
0.769 0.416 0.552
0.750 0.669 0.000
0.250 0.331 0.000
```

Calculated density (kg/m³): 5346
E_form (uncorrected) (eV per atom): -2.510



# YTa2Cu

A crystal of YTa2Cu relaxed with PBEsol (SCAN, Alexandria).

Cell and atoms, written as POSCAR:
```
YTa2Cu
1.0
-1.330 4.463 -0.377
-2.074 2.132 3.604
2.273 3.324 2.371
Y Cu Ta
1 1 2
Direct
0.500 0.500 0.500
0.250 0.250 0.250
0.750 0.750 0.750
0.000 0.000 0.000
```

Distance to the lowest polymorph of the same formula (eV per formula unit): 0.27
Calculated density (kg/m³): 11839
E_form (eV per atom): 0.304



# Ti2InNi2

A crystal of Ti2InNi2 relaxed with PBEsol (SCAN, Alexandria).

Cell and atoms, written as POSCAR:
```
Ti2InNi2
1.0
-0.618 -3.117 0.469
2.507 -0.196 1.998
-5.535 3.461 4.705
Ni In Ti
2 1 2
Direct
0.750 0.250 0.500
0.250 0.750 0.500
0.000 0.000 0.000
0.628 0.628 0.257
0.372 0.372 0.743
```

Calculated density (kg/m³): 6838
E_form (eV per atom): -0.108



# HfPbClF2

A crystal of HfPbClF2 relaxed with PBEsol (SCAN, Alexandria).

Cell and atoms, written as POSCAR:
```
HfPbClF2
1.0
-0.295 -3.888 -1.381
3.988 -0.624 0.903
-1.532 -1.837 5.500
Cl F Hf Pb
1 2 1 1
Direct
0.500 0.500 0.500
0.500 0.000 0.000
0.000 0.500 0.000
0.000 0.000 0.000
0.000 0.000 0.500
```

Calculated density (kg/m³): 7429
E_form (uncorrected) (eV per atom): -2.072



# InWS3

A crystal of InWS3 relaxed with PBEsol (SCAN, Alexandria).

Cell and atoms, written as POSCAR:
```
InWS3
1.0
-4.269 1.610 -1.091
-0.173 -2.937 -3.654
-1.937 -3.285 2.732
In S W
1 3 1
Direct
0.500 0.500 0.500
0.000 0.500 0.000
0.000 0.000 0.500
0.500 0.000 0.000
0.000 0.000 0.000
```

Calculated density (kg/m³): 6351
E_form (uncorrected) (eV per atom): -0.184



# Ca2NiCl

A crystal of Ca2NiCl relaxed with PBEsol (SCAN, Alexandria).

Cell and atoms, written as POSCAR:
```
Ca2NiCl
1.0
-2.492 -1.262 1.910
0.920 -3.142 -0.858
4.589 -0.246 5.826
Ca Cl Ni
2 1 1
Direct
0.000 0.000 0.779
0.000 0.000 0.221
0.500 0.500 0.500
0.500 0.500 0.000
```

Calculated density (kg/m³): 3406
E_form (uncorrected) (eV per atom): -0.836



# MgH10SO9

A crystal of MgH10SO9 relaxed with PBEsol (SCAN, Alexandria).

Cell and atoms, written as POSCAR:
```
MgH10SO9
1.0
-3.469 -0.564 -4.877
3.197 -2.682 -4.505
-2.251 -10.138 0.959
H O Mg S
20 18 2 2
Direct
0.897 0.179 0.401
0.769 0.697 0.000
0.178 0.133 0.371
0.640 0.320 0.632
0.288 0.625 0.861
0.635 0.352 0.871
0.731 0.889 0.860
0.231 0.303 0.000
0.732 0.571 0.209
0.269 0.111 0.140
0.360 0.680 0.368
0.445 0.394 0.389
0.555 0.606 0.611
0.822 0.867 0.629
0.120 0.656 0.211
0.365 0.648 0.129
0.268 0.429 0.791
0.880 0.344 0.789
0.103 0.821 0.599
0.712 0.375 0.139
0.817 0.731 0.329
0.660 0.548 0.136
0.970 0.763 0.592
0.727 0.081 0.152
0.340 0.452 0.864
0.164 0.189 0.066
0.190 0.696 0.121
0.836 0.811 0.934
0.591 0.041 0.710
0.273 0.919 0.848
0.349 0.874 0.620
0.030 0.237 0.408
0.810 0.304 0.879
0.651 0.126 0.380
0.309 0.537 0.400
0.183 0.269 0.671
0.409 0.959 0.290
0.691 0.463 0.600
0.000 0.500 0.500
0.000 0.000 0.000
0.653 0.975 0.289
0.347 0.025 0.711
```

Total energy (eV per atom): -6.4120
Calculated density (kg/m³): 1992



# BeCoHg2

A crystal of BeCoHg2 relaxed with PBEsol (SCAN, Alexandria).

Cell and atoms, written as POSCAR:
```
BeCoHg2
1.0
4.415 0.000 0.000
2.208 3.824 0.000
2.208 1.275 3.605
Be Hg Co
1 2 1
Direct
0.500 0.500 0.500
0.000 0.000 0.000
0.750 0.750 0.750
0.250 0.250 0.250
```

Calculated density (kg/m³): 12799
E_form (eV per atom): 0.505



# BePtRh2

A crystal of BePtRh2 relaxed with PBEsol (SCAN, Alexandria).

Cell and atoms, written as POSCAR:
```
BePtRh2
1.0
-1.057 0.275 2.494
-2.549 -3.250 -0.722
4.821 -1.230 0.692
Be Rh Pt
1 2 1
Direct
0.500 0.000 0.000
0.211 0.211 0.422
0.789 0.789 0.578
0.000 0.500 0.000
```

Calculated density (kg/m³): 13685
E_form (eV per atom): -0.336



# MgBeTcB2

A crystal of MgBeTcB2 relaxed with PBEsol (SCAN, Alexandria).

Cell and atoms, written as POSCAR:
```
MgBeTcB2
1.0
-0.911 -1.501 -3.649
-1.297 -3.423 1.732
-3.834 1.604 0.298
Be B Mg Tc
1 2 1 1
Direct
0.000 0.000 0.500
0.000 0.500 0.000
0.500 0.000 0.000
0.500 0.500 0.500
0.000 0.000 0.000
```

Calculated density (kg/m³): 3717
E_form (eV per atom): 0.599



# Ba2NiP

A crystal of Ba2NiP relaxed with PBEsol (SCAN, Alexandria).

Cell and atoms, written as POSCAR:
```
Ba2NiP
1.0
4.094 0.000 0.000
0.000 4.319 0.000
-2.047 -2.160 7.988
Ba P Ni
2 1 1
Direct
0.260 0.760 0.519
0.992 0.992 0.984
0.852 0.352 0.704
0.396 0.396 0.792
```

Calculated density (kg/m³): 4283
E_form (eV per atom): -0.621



# NbC2O2

A crystal of NbC2O2 relaxed with PBEsol (SCAN, Alexandria).

Cell and atoms, written as POSCAR:
```
NbC2O2
1.0
3.959 -0.014 -0.020
-1.948 3.446 0.020
-1.948 -1.164 3.244
O Nb C
2 1 2
Direct
0.500 0.750 0.250
0.500 0.250 0.750
0.000 0.000 0.000
0.000 0.615 0.615
0.000 0.385 0.385
```

Calculated density (kg/m³): 5610
E_form (uncorrected) (eV per atom): 0.528